1.
This record from the Alexandria database describes CsKCaBr4 after structural relaxation. The functional is GGA-PBE.

Cell lengths 5.709, 5.709, 17.575 Å; angles 90.00, 90.00, 90.00 degrees
Space group I4mm (No. 107)
Asymmetric unit:
Cs1 0.000 0.000 0.000 (multiplicity 2)
K1 0.000 0.000 0.717 (multiplicity 2)
Ca1 0.000 0.000 0.359 (multiplicity 2)
Br1 0.000 0.000 0.197 (multiplicity 2)
Br2 0.000 0.000 0.525 (multiplicity 2)
Br3 0.000 0.500 0.354 (multiplicity 4)

Output
D(E_F)	0.000	states/eV/atom
total energy	-3.397	eV/atom

=====

2.
This record from the Alexandria database describes Cs3KCa2Br9 after structural relaxation. The functional is GGA-PBE.

Cell lengths 8.1004, 8.1004, 11.1550 Å; angles 90.00, 90.00, 120.00 degrees
Space group P-3m1 (No. 164)
Asymmetric unit:
Cs1 0.0000 0.0000 0.0000 (multiplicity 1)
Cs2 0.3333 0.6667 0.7195 (multiplicity 2)
K1 0.0000 0.0000 0.5000 (multiplicity 1)
Ca1 0.3333 0.6667 0.1548 (multiplicity 2)
Br1 0.0000 0.5000 0.0000 (multiplicity 3)
Br2 0.1679 0.3359 0.3030 (multiplicity 6)

Output
D(E_F)	1.147	states/eV/atom
total energy	-3.238	eV/atom

=====

3.
This record from the Alexandria database describes Cs2KCa2Br7 after structural relaxation. The functional is GGA-PBE.

Cell lengths 8.103, 8.104, 15.267 Å; angles 90.00, 105.37, 90.00 degrees
Space group C2/m (No. 12)
Asymmetric unit:
Cs1 0.181 0.000 0.363 (multiplicity 4)
K1 0.000 0.000 0.000 (multiplicity 2)
Ca1 0.097 0.500 0.196 (multiplicity 4)
Br1 0.000 0.500 0.000 (multiplicity 2)
Br2 0.158 0.250 0.815 (multiplicity 8)
Br3 0.195 0.500 0.390 (multiplicity 4)

Output
D(E_F)	0.000	states/eV/atom
total energy	-3.455	eV/atom

=====

4.
This record from the Alexandria database describes Cs4KCa3Br12 after structural relaxation. The functional is GGA-PBE.

Cell lengths 11.768, 11.768, 11.768 Å; angles 90.00, 90.00, 90.00 degrees
Space group Im-3m (No. 229)
Asymmetric unit:
Cs1 0.250 0.250 0.250 (multiplicity 8)
K1 0.000 0.000 0.000 (multiplicity 2)
Ca1 0.000 0.000 0.500 (multiplicity 6)
Br1 0.000 0.000 0.263 (multiplicity 12)
Br2 0.000 0.250 0.500 (multiplicity 12)

Output
D(E_F)	1.431	states/eV/atom
total energy	-3.311	eV/atom

=====

5.
This record from the Alexandria database describes Cs2KCaBr6 after structural relaxation. The functional is GGA-PBE.

Cell lengths 12.022, 12.022, 12.022 Å; angles 90.00, 90.00, 90.00 degrees
Space group Fm-3m (No. 225)
Asymmetric unit:
Cs1 0.250 0.250 0.250 (multiplicity 8)
K1 0.000 0.000 0.000 (multiplicity 4)
Ca1 0.000 0.000 0.500 (multiplicity 4)
Br1 0.000 0.000 0.262 (multiplicity 24)

Output
D(E_F)	0.769	states/eV/atom
total energy	-3.079	eV/atom

=====

6.
This record from the Alexandria database describes CsCa2LaBr8 after structural relaxation. The functional is GGA-PBE.

Cell lengths 6.974, 7.236, 9.377 Å; angles 89.97, 89.95, 89.27 degrees
Space group P-1 (No. 2)
Asymmetric unit:
Cs1 0.000 0.000 0.000 (multiplicity 1)
Ca1 0.500 0.500 0.246 (multiplicity 2)
La1 0.000 0.000 0.500 (multiplicity 1)
Br1 0.256 0.827 0.710 (multiplicity 2)
Br2 0.257 0.827 0.290 (multiplicity 2)
Br3 0.266 0.332 0.500 (multiplicity 2)
Br4 0.274 0.393 0.000 (multiplicity 2)

Output
D(E_F)	0.000	states/eV/atom
total energy	-3.859	eV/atom

=====

7.
This record from the Alexandria database describes CsCaLaBr6 after structural relaxation. The functional is GGA-PBE.

Cell lengths 10.510, 10.903, 15.369 Å; angles 90.00, 90.00, 90.00 degrees
Space group Imma (No. 74)
Asymmetric unit:
Cs1 0.000 0.250 0.049 (multiplicity 4)
Ca1 0.250 0.250 0.750 (multiplicity 4)
La1 0.000 0.000 0.500 (multiplicity 4)
Br1 0.000 0.250 0.422 (multiplicity 4)
Br2 0.000 0.250 0.818 (multiplicity 4)
Br3 0.210 0.056 0.620 (multiplicity 16)

Output
D(E_F)	0.000	states/eV/atom
total energy	-3.906	eV/atom

=====

8.
This record from the Alexandria database describes Cs2CaLaBr6 after structural relaxation. The functional is GGA-PBE.

Cell lengths 8.317, 11.757, 8.307 Å; angles 90.00, 90.00, 90.00 degrees
Space group Pmmn (No. 59, origin choice 2)
Asymmetric unit:
Cs1 0.250 0.001 0.250 (multiplicity 4)
Ca1 0.250 0.250 0.747 (multiplicity 2)
La1 0.250 0.750 0.753 (multiplicity 2)
Br1 0.004 0.250 0.992 (multiplicity 4)
Br2 0.005 0.250 0.502 (multiplicity 4)
Br3 0.250 0.005 0.750 (multiplicity 4)

Output
D(E_F)	0.629	states/eV/atom
total energy	-3.678	eV/atom

=====

9.
This record from the Alexandria database describes Cs2LiCaBr5 after structural relaxation. The functional is GGA-PBE.

Cell lengths 4.498, 21.294, 14.628 Å; angles 90.00, 90.00, 90.00 degrees
Space group Cmc2_1 (No. 36)
Asymmetric unit:
Cs1 0.000 0.114 0.000 (multiplicity 4)
Cs2 0.000 0.124 0.627 (multiplicity 4)
Li1 0.000 0.429 0.757 (multiplicity 4)
Ca1 0.000 0.208 0.333 (multiplicity 4)
Br1 0.000 0.071 0.345 (multiplicity 4)
Br2 0.000 0.288 0.966 (multiplicity 4)
Br3 0.000 0.309 0.700 (multiplicity 4)
Br4 0.000 0.341 0.316 (multiplicity 4)
Br5 0.000 0.492 0.614 (multiplicity 4)

Output
D(E_F)	0.000	states/eV/atom
total energy	-3.386	eV/atom

=====

10.
This record from the Alexandria database describes Cs3Li2CaBr6 after structural relaxation. The functional is GGA-PBE.

Cell lengths 8.0268, 8.0268, 9.4458 Å; angles 90.00, 90.00, 120.00 degrees
Space group P-3m1 (No. 164)
Asymmetric unit:
Cs1 0.0000 0.0000 0.0000 (multiplicity 1)
Cs2 0.3333 0.6667 0.6506 (multiplicity 2)
Li1 0.3333 0.6667 0.2208 (multiplicity 2)
Ca1 0.0000 0.0000 0.5000 (multiplicity 1)
Br1 0.1662 0.3324 0.3141 (multiplicity 6)

Output
D(E_F)	0.183	states/eV/atom
total energy	-3.129	eV/atom

=====

11.
This record from the Alexandria database describes Cs3LiCa2Br9 after structural relaxation. The functional is GGA-PBE.

Cell lengths 8.0105, 8.0105, 9.8524 Å; angles 90.00, 90.00, 120.00 degrees
Space group P-3m1 (No. 164)
Asymmetric unit:
Cs1 0.0000 0.0000 0.0000 (multiplicity 1)
Cs2 0.3333 0.6667 0.6624 (multiplicity 2)
Li1 0.0000 0.0000 0.5000 (multiplicity 1)
Ca1 0.3333 0.6667 0.1764 (multiplicity 2)
Br1 0.0000 0.5000 0.0000 (multiplicity 3)
Br2 0.1623 0.3246 0.3391 (multiplicity 6)

Output
D(E_F)	1.245	states/eV/atom
total energy	-3.280	eV/atom

=====

12.
This record from the Alexandria database describes Cs2CaMnBr6 after structural relaxation. The functional is GGA-PBE.

Cell lengths 11.198, 11.198, 11.198 Å; angles 90.00, 90.00, 90.00 degrees
Space group Fm-3m (No. 225)
Asymmetric unit:
Cs1 0.250 0.250 0.250 (multiplicity 8)
Ca1 0.000 0.000 0.000 (multiplicity 4)
Mn1 0.000 0.000 0.500 (multiplicity 4)
Br1 0.000 0.000 0.259 (multiplicity 24)

Output
D(E_F)	0.000	states/eV/atom
total energy	-3.875	eV/atom